Compound: Tb3PrAs4
Source: Alexandria
Functional: PBE-GGA
Structure: relaxed

The structure in POSCAR format:
```
Tb3PrAs4
1.0
5.9144 0.0000 0.0000
0.0000 5.9144 0.0000
0.0000 0.0000 5.9144
Pr As Tb
1 4 3
Cartesian
0.0000 0.0000 0.0000
2.9572 0.0000 0.0000
0.0000 2.9572 0.0000
0.0000 0.0000 2.9572
2.9572 2.9572 2.9572
0.0000 2.9572 2.9572
2.9572 0.0000 2.9572
2.9572 2.9572 0.0000
```

Output
Calculated formation energy (eV/atom): -1.519
Electronic total energy (eV/atom): -6.1773
Calculated volume (Å³/atom): 25.86

Compound: TbPr2As
Source: Alexandria
Functional: PBE-GGA
Structure: relaxed

The structure in POSCAR format:
```
TbPr2As
1.0
-0.2950 -1.9222 -3.4375
3.0952 -2.0054 -1.4130
-2.2921 -9.8465 3.4340
Pr As Tb
2 1 1
Cartesian
-1.2313 -7.0386 1.7728
1.7393 -6.7355 -3.1893
0.2540 -6.8871 -0.7083
0.0000 0.0000 0.0000
```

Output
Calculated formation energy (eV/atom): -0.363
Electronic total energy (eV/atom): -5.0727
Calculated volume (Å³/atom): 35.23

Compound: Tb2PrAs3
Source: Alexandria
Functional: PBE-GGA
Structure: relaxed

The structure in POSCAR format:
```
Tb2PrAs3
1.0
4.0395 0.0000 -1.1445
-0.6218 5.4841 -2.1946
-0.1253 -0.3258 7.2589
Tb Pr As
2 1 3
Cartesian
2.5451 0.8015 1.2819
0.7474 4.3567 2.6379
-0.3109 2.7421 -1.0973
1.0387 1.5848 3.6661
0.0000 0.0000 0.0000
2.2537 3.5734 0.2537
```

Output
Calculated formation energy (eV/atom): -1.517
Electronic total energy (eV/atom): -6.1815
Calculated volume (Å³/atom): 26.15

Compound: TbPr2Te2As2
Source: Alexandria
Functional: PBE-GGA
Structure: relaxed

The structure in POSCAR format:
```
TbPr2Te2As2
1.0
5.3509 0.0000 0.0000
0.0000 5.3509 0.0000
-2.6755 -2.6755 7.9453
Tb Pr Te As
1 2 2 2
Cartesian
0.0000 0.0000 0.0000
0.0000 0.0000 6.1365
2.6755 2.6755 1.8089
0.0000 0.0000 3.0406
2.6755 2.6755 4.9047
0.0000 2.6755 0.0000
2.6755 0.0000 0.0000
```

Output
Formation energy (no corrections) (kJ/mol of formula units): -698
Electronic total energy (eV/atom): -5.2863
Calculated volume (Å³/atom): 32.50

Compound: TbPr2ThAs4
Source: Alexandria
Functional: PBE-GGA
Structure: relaxed

The structure in POSCAR format:
```
TbPr2ThAs4
1.0
4.2568 0.0000 0.0000
0.0000 7.3485 0.1247
0.0000 -2.5715 6.9157
Tb Pr Th As
1 2 1 4
Cartesian
0.0000 0.0000 0.0000
2.1284 -1.2858 3.4578
0.0000 2.3885 3.5202
2.1284 3.6742 0.0624
2.1284 1.1833 1.6957
2.1284 3.5937 5.3447
0.0000 -0.1088 5.2674
0.0000 4.8858 1.7731
```

Output
Calculated formation energy (eV/atom): -1.507
Electronic total energy (eV/atom): -6.5333
Calculated volume (Å³/atom): 27.21

Compound: Tb3PrTh4As8
Source: Alexandria
Functional: PBE-GGA
Structure: relaxed

The structure in POSCAR format:
```
Tb3PrTh4As8
1.0
-0.6670 6.0384 5.8837
4.1252 -4.8837 5.4797
3.4329 1.7843 -7.5203
Tb Pr Th As
3 1 4 8
Cartesian
1.7291 0.5774 5.6817
3.4456 1.4695 1.9215
3.7791 -1.5497 -1.0203
2.0626 -2.4418 2.7399
-0.3335 3.0192 2.9418
1.3830 3.9114 -0.8183
0.0000 0.0000 0.0000
1.7164 0.8922 -3.7602
6.3363 -0.3555 -1.9159
4.6424 -1.2357 1.7945
2.6172 1.1712 -0.9053
6.0072 2.6239 0.9872
0.8840 0.3152 2.8559
4.2740 1.7678 4.7484
2.2487 4.1748 2.0486
0.5549 3.2946 5.7589
```

Output
Calculated formation energy (eV/atom): -1.469
Electronic total energy (eV/atom): -6.8157
Calculated volume (Å³/atom): 26.56

Compound: TbPrTh2As4
Source: Alexandria
Functional: PBE-GGA
Structure: relaxed

The structure in POSCAR format:
```
TbPrTh2As4
1.0
4.2477 0.0000 0.0000
0.0000 7.3221 -0.1286
0.0000 2.5924 6.8852
Tb Pr Th As
1 1 2 4
Cartesian
0.0000 4.9572 3.3783
2.1239 6.2534 6.8209
0.0000 2.5924 6.8852
2.1239 1.2962 3.4426
0.0001 7.4346 5.0339
4.2477 2.4798 1.7227
2.1239 6.1378 1.6601
2.1239 3.7766 5.0965
```

Output
Calculated formation energy (eV/atom): -1.466
Electronic total energy (eV/atom): -6.8220
Calculated volume (Å³/atom): 26.95

Compound: Tb3Pr2ThAs6
Source: Alexandria
Functional: PBE-GGA
Structure: relaxed

The structure in POSCAR format:
```
Tb3Pr2ThAs6
1.0
4.2194 0.0000 0.0000
0.0000 8.4206 0.3189
-2.1097 -2.4085 8.8480
Tb Pr Th As
3 2 1 6
Cartesian
2.1097 4.2103 0.1595
2.1097 -0.1902 5.9325
0.0000 6.2023 3.2345
2.1097 3.9923 6.0974
0.0000 2.0197 3.0696
2.1097 0.0000 0.0000
0.0000 6.1725 6.1870
2.1097 4.1731 3.0919
2.1097 -0.1605 2.9800
2.1097 -0.2799 8.8862
0.0000 6.2919 0.2808
0.0000 1.8390 6.0750
```

Output
Calculated formation energy (eV/atom): -1.517
Electronic total energy (eV/atom): -6.4147
Calculated volume (Å³/atom): 26.47

Compound: Tb2PrTh3As6
Source: Alexandria
Functional: PBE-GGA
Structure: relaxed

The structure in POSCAR format:
```
Tb2PrTh3As6
1.0
-0.7223 4.3070 5.8904
1.5128 -7.1254 0.8422
6.4571 2.3423 -2.4456
Tb Pr Th As
2 1 3 6
Cartesian
0.7689 -3.3206 2.5223
0.0216 0.5022 4.2103
0.0000 0.0000 0.0000
4.3719 -4.0650 0.4536
2.8756 3.5889 3.8334
3.6238 -0.2381 2.1435
5.0667 1.5922 4.0510
2.1793 -1.5160 4.3981
2.1808 -2.0683 0.2360
5.8246 -2.2846 2.3391
5.0682 1.0399 -0.1112
1.4229 1.8085 1.9479
```

Output
Calculated formation energy (eV/atom): -1.470
Electronic total energy (eV/atom): -6.8193
Calculated volume (Å³/atom): 26.67

Compound: Tb3PrTh2As6
Source: Alexandria
Functional: PBE-GGA
Structure: relaxed

The structure in POSCAR format:
```
Tb3PrTh2As6
1.0
-2.9720 0.7743 -2.8864
4.2344 -4.6074 -5.5959
-3.9987 -6.5304 5.4427
Tb Pr Th As
3 1 2 6
Cartesian
0.6312 -1.9166 -4.2412
-4.4519 -4.4906 0.3022
1.7155 -5.8729 -3.3418
-1.4860 0.3871 -1.4432
-2.3215 -6.8025 -2.5116
-0.4149 -3.5611 -0.5281
0.2646 -8.2957 -2.4977
-0.8218 -4.3498 -3.3978
-3.0009 -2.0679 -0.5419
-5.8724 -6.9309 1.1102
3.1360 -3.4326 -4.1498
-1.9145 -6.0137 0.3582
```

Output
Calculated formation energy (eV/atom): -1.499
Electronic total energy (eV/atom): -6.6162
Calculated volume (Å³/atom): 26.30

Compound: TbPrTm2As4
Source: Alexandria
Functional: PBE-GGA
Structure: relaxed

The structure in POSCAR format:
```
TbPrTm2As4
1.0
4.1488 0.0000 0.0000
0.0000 7.1733 -0.1390
0.0000 2.5262 6.7219
Tb Pr Tm As
1 1 2 4
Cartesian
0.0000 4.8497 3.2915
2.0744 3.5867 -0.0695
0.0000 2.5262 6.7219
2.0744 1.2631 3.3610
0.0001 7.3370 4.8781
4.1488 2.3626 1.7048
2.0744 6.0753 1.5870
2.0744 3.6243 4.9959
```

Output
Calculated formation energy (eV/atom): -1.500
Electronic total energy (eV/atom): -6.1192
Calculated volume (Å³/atom): 25.19

Compound: Tb3Pr2TmAs6
Source: Alexandria
Functional: PBE-GGA
Structure: relaxed

The structure in POSCAR format:
```
Tb3Pr2TmAs6
1.0
4.1874 0.0000 0.0000
0.0000 8.3636 0.2980
-2.0937 -2.4104 8.7949
Tb Pr Tm As
3 2 1 6
Cartesian
2.0937 4.1818 0.1490
2.0937 -0.2173 5.9005
0.0000 6.1706 3.1925
2.0937 3.9786 6.0860
0.0000 1.9747 3.0069
2.0937 0.0000 0.0000
0.0000 6.1204 6.1690
2.0937 4.1340 3.0678
2.0937 -0.1671 2.9240
2.0937 -0.3488 8.8158
0.0000 6.3020 0.2772
0.0000 1.8193 6.0251
```

Output
Calculated formation energy (eV/atom): -1.507
Electronic total energy (eV/atom): -6.1590
Calculated volume (Å³/atom): 25.92

Compound: TbPr2UAs4
Source: Alexandria
Functional: PBE-GGA
Structure: relaxed

The structure in POSCAR format:
```
TbPr2UAs4
1.0
-0.6702 0.3087 4.1239
0.5841 -7.2276 0.6360
6.5860 3.0128 0.8448
Tb Pr U As
1 2 1 4
Cartesian
0.0000 0.0000 0.0000
2.9579 1.6608 2.4844
3.5851 -2.1074 0.7404
-0.0430 -3.4594 2.3799
1.3609 -0.9463 2.4200
5.1391 -2.9598 3.1847
5.1897 0.4424 0.8103
1.9805 -4.6572 0.6705
```

Output
Calculated formation energy (eV/atom): -1.313
Electronic total energy (eV/atom): -6.8222
Calculated volume (Å³/atom): 26.26

Compound: Tb2PrYAs4
Source: Alexandria
Functional: PBE-GGA
Structure: relaxed

The structure in POSCAR format:
```
Tb2PrYAs4
1.0
4.1815 0.0000 0.0000
0.0000 7.2366 -0.1431
0.0000 2.5458 6.7732
Tb Pr Y As
2 1 1 4
Cartesian
0.0000 2.5458 6.7732
2.0908 1.2729 3.3866
2.0908 3.6183 -0.0715
0.0000 4.8912 3.3151
0.0001 7.3668 4.9237
4.1815 2.4156 1.7064
2.0908 6.0956 1.6106
2.0908 3.6868 5.0194
```

Output
Calculated formation energy (eV/atom): -1.526
Electronic total energy (eV/atom): -6.4139
Calculated volume (Å³/atom): 25.81

Compound: TbPr2YAs4
Source: Alexandria
Functional: PBE-GGA
Structure: relaxed

The structure in POSCAR format:
```
TbPr2YAs4
1.0
-2.4903 -3.3713 -0.5230
4.2553 -3.8467 4.5337
-5.2749 3.3031 3.8247
Tb Pr Y As
1 2 1 4
Cartesian
0.8825 -3.6090 2.0053
-3.8826 -0.0341 1.6509
-0.5098 -0.2718 4.1792
0.0000 0.0000 0.0000
-1.4602 -1.8421 1.7707
-2.0497 -2.0728 6.0647
-2.9329 1.5372 4.0560
1.9133 -2.0808 4.3024
```

Output
Calculated formation energy (eV/atom): -1.518
Electronic total energy (eV/atom): -6.4248
Calculated volume (Å³/atom): 26.59

Compound: Tb2PrY3As6
Source: Alexandria
Functional: PBE-GGA
Structure: relaxed

The structure in POSCAR format:
```
Tb2PrY3As6
1.0
7.2073 -0.0005 0.0010
-3.6024 6.2425 0.0010
-1.2019 -2.0811 6.7930
Tb Pr Y As
2 1 3 6
Cartesian
-0.0032 4.1638 0.0010
3.6082 2.0781 0.0010
0.0000 0.0000 0.0000
-2.4161 4.1697 3.3974
4.8191 -0.0089 3.3974
1.2015 2.0804 3.3974
3.6235 2.0452 5.0675
2.3831 4.1263 1.7228
-1.2205 2.1156 1.7274
-0.0394 4.1607 5.0675
0.0199 0.0345 5.0721
2.4424 0.0001 1.7274
```

Output
Calculated formation energy (eV/atom): -1.536
Electronic total energy (eV/atom): -6.6467
Calculated volume (Å³/atom): 25.47

Compound: Tb2PrZrAs4
Source: Alexandria
Functional: PBE-GGA
Structure: relaxed

The structure in POSCAR format:
```
Tb2PrZrAs4
1.0
-3.9405 -1.1104 -0.3006
1.9942 -6.5439 -1.9690
-0.6060 0.2367 7.0698
Tb Pr Zr As
2 1 1 4
Cartesian
-2.2732 -0.4369 3.3846
0.6941 -3.1536 2.5504
-0.9731 -3.8271 -1.1348
0.0000 0.0000 0.0000
-1.6478 -2.0377 1.0987
-0.9045 -5.3799 3.7015
0.0179 -1.3713 4.8302
1.3702 -4.9360 0.2706
```

Output
Calculated formation energy (eV/atom): -1.399
Electronic total energy (eV/atom): -6.5469
Calculated volume (Å³/atom): 24.48

Compound: PrTcAs
Source: Alexandria
Functional: PBE-GGA
Structure: relaxed

The structure in POSCAR format:
```
PrTcAs
1.0
-3.8356 -2.0182 0.1194
3.1742 -1.5125 -2.3236
1.5851 -2.4381 9.7052
As Tc Pr
2 2 2
Cartesian
0.3033 -4.8416 6.6273
0.6203 -1.1272 0.8738
2.0472 -3.4166 8.0115
-1.1236 -2.5522 -0.5105
-1.2026 -2.2017 2.8769
2.1262 -3.7671 4.6242
```

Output
Calculated formation energy (eV/atom): -0.346
Electronic total energy (eV/atom): -6.9442
Calculated volume (Å³/atom): 24.50

Compound: Pr5TeAs4
Source: Alexandria
Functional: PBE-GGA
Structure: relaxed

The structure in POSCAR format:
```
Pr5TeAs4
1.0
-1.7199 -3.9683 0.3172
4.2810 -2.1655 -3.8793
5.2870 0.8965 10.2402
Pr Te As
5 1 4
Cartesian
0.5856 -2.4619 2.0205
3.0946 -3.2910 5.2522
4.7534 -1.9463 1.4258
2.1405 -1.0828 -1.9396
7.2624 -2.7754 4.6575
0.0000 0.0000 0.0000
5.2604 -1.7384 6.7755
5.1886 -4.3584 3.2527
2.6594 -0.8789 3.4254
2.5876 -3.4989 -0.0975
```

Output
Formation energy (no corrections) (kJ/mol of formula units): -1463
Electronic total energy (eV/atom): -6.0804
Calculated volume (Å³/atom): 29.24

Compound: Pr3TeAs2
Source: Alexandria
Functional: PBE-GGA
Structure: relaxed

The structure in POSCAR format:
```
Pr3TeAs2
1.0
8.0951 0.0000 4.2642
3.0340 6.6884 4.0561
0.7826 0.6218 8.3302
Pr Te As
6 2 4
Cartesian
2.4251 5.0477 5.2120
1.3915 2.2625 7.1743
6.5647 5.2958 7.1693
4.4388 0.3109 6.2972
5.5645 3.3442 4.1601
5.3469 2.0144 9.4812
2.5342 1.8275 3.9289
9.3774 5.4826 12.7216
5.7646 6.9253 12.8662
4.4583 3.2702 6.9901
7.4533 4.0399 9.6603
6.1470 0.3849 3.7843
```

Output
Formation energy (no corrections) (kJ/mol of formula units): -626
Electronic total energy (eV/atom): -5.5444
Calculated volume (Å³/atom): 34.69

Compound: Pr8Te3As4
Source: Alexandria
Functional: PBE-GGA
Structure: relaxed

The structure in POSCAR format:
```
Pr8Te3As4
1.0
-5.9424 -3.4164 5.4350
7.6765 -4.0881 -1.1972
4.2455 7.3502 2.2416
Pr Te As
8 3 4
Cartesian
-0.1041 -0.8863 2.8443
6.8467 -1.3217 -0.3655
-3.0108 -2.5862 5.5983
3.8832 -3.0555 2.3443
2.0964 2.9011 4.1351
8.9905 2.4318 0.8811
5.0753 4.5838 1.4099
6.0837 0.7320 3.6351
0.8671 -3.7523 2.1189
-0.8484 1.9669 3.8383
2.9898 -0.0772 3.2397
-2.9712 -1.7082 2.7175
3.8382 -2.0440 -0.5986
0.0000 0.0000 0.0000
2.1228 3.6751 1.1208
```

Output
Formation energy (no corrections) (kJ/mol of formula units): -1973
Electronic total energy (eV/atom): -5.7802
Calculated volume (Å³/atom): 31.95

Compound: Pr4Te3As
Source: Alexandria
Functional: PBE-GGA
Structure: relaxed

The structure in POSCAR format:
```
Pr4Te3As
1.0
4.4340 0.0000 0.0000
0.0000 7.8003 -0.0369
0.0000 -2.4943 7.3909
Pr Te As
4 3 1
Cartesian
0.0000 1.1962 1.6579
2.2170 5.3850 1.7058
0.0000 4.1098 5.6960
2.2170 -0.0790 5.6482
0.0000 -1.2472 3.6954
2.2170 2.6530 3.6770
0.0000 3.9002 -0.0185
2.2170 0.0000 0.0000
```

Output
Formation energy (no corrections) (kJ/mol of formula units): -1157
Electronic total energy (eV/atom): -5.6475
Calculated volume (Å³/atom): 31.90